# 1
Li2MgAg | PBE | optimized geometry

Calculated values
Density of states at the Fermi level: 5.8 states/eV/cell

a b c (Å): 3.916 3.916 20.240
angles (deg): 90.00 90.00 90.00
Space group I-42d (No. 122)
Inequivalent atoms, fractional coordinates:
Li 0.230 0.250 0.125 (multiplicity 8)
Mg 0.000 0.000 0.500 (multiplicity 4)
Ag 0.000 0.000 0.000 (multiplicity 4)

# 2
LiMgAg | PBE | optimized geometry

Calculated values
Energy above the most stable polymorph in this dataset: 115.8 meV/atom
Density of states at the Fermi level: 0.9 states/eV/cell

a b c (Å): 3.0556 3.0556 6.9800
angles (deg): 90.00 90.00 120.00
Space group P3m1 (No. 156)
Inequivalent atoms, fractional coordinates:
Li 0.0000 0.0000 0.0000 (multiplicity 1)
Mg 0.6667 0.3333 0.3567 (multiplicity 1)
Ag 0.3333 0.6667 0.6900 (multiplicity 1)

# 3
LiMg2Ag | PBE | optimized geometry

Calculated values
Energy above the most stable polymorph in this dataset: 270.9 meV/atom
Density of states at the Fermi level: 4.4 states/eV/cell

a b c (Å): 7.562 7.562 5.853
angles (deg): 90.00 90.00 90.00
Space group I-42d (No. 122)
Inequivalent atoms, fractional coordinates:
Li 0.000 0.000 0.000 (multiplicity 4)
Mg 0.238 0.250 0.625 (multiplicity 8)
Ag 0.000 0.000 0.500 (multiplicity 4)

# 4
Li5Mg8Ag | PBE | optimized geometry

Calculated values
Density of states at the Fermi level: 10.9 states/eV/cell

a b c (Å): 8.321 8.321 8.769
angles (deg): 90.00 90.00 90.00
Space group I-4 (No. 82)
Inequivalent atoms, fractional coordinates:
Li 0.000 0.000 0.000 (multiplicity 2)
Li 0.113 0.707 0.675 (multiplicity 8)
Mg 0.071 0.824 0.348 (multiplicity 8)
Mg 0.083 0.679 0.003 (multiplicity 8)
Ag 0.000 0.500 0.250 (multiplicity 2)

Number 1: uncorrected energy -33.3 eV per cell. Number 2: uncorrected energy -6.6 eV per cell. Number 3: uncorrected energy -30.9 eV per cell. Number 4: uncorrected energy -49.8 eV per cell.